# Sm12Tl6Au PBE optimized geometry
# Calculated total energy ... -4.092 eV/atom
data_Sm12Tl6Au
_chemical_formula_sum 'Sm12 Tl6 Au1'
_cell_length_a 8.326
_cell_length_b 8.326
_cell_length_c 8.326
_cell_angle_alpha 91.98
_cell_angle_beta 91.98
_cell_angle_gamma 91.98
_symmetry_space_group_name_H-M 'P 1'
_symmetry_Int_Tables_number 1
_symmetry_space_group_name_Hall 'P 1'
loop_
_atom_site_label
_atom_site_fract_x
_atom_site_fract_y
_atom_site_fract_z
Sm1 0.805 0.546 0.436
Sm2 0.436 0.805 0.546
Sm3 0.546 0.436 0.805
Sm4 0.195 0.454 0.564
Sm5 0.564 0.195 0.454
Sm6 0.454 0.564 0.195
Sm7 0.047 0.103 0.356
Sm8 0.897 0.644 0.953
Sm9 0.644 0.953 0.897
Sm10 0.953 0.897 0.644
Sm11 0.103 0.356 0.047
Sm12 0.356 0.047 0.103
Tl1 0.708 0.875 0.272
Tl2 0.728 0.292 0.125
Tl3 0.125 0.728 0.292
Tl4 0.292 0.125 0.728
Tl5 0.272 0.708 0.875
Tl6 0.875 0.272 0.708
Au1 0.000 0.000 0.000

=====

# AcScRh PBE optimized geometry
# Polymorph energy (0 for the lowest one) ... 0.0 meV/atom
# Calculated total energy ... -6.545 eV/atom
data_AcScRh
_chemical_formula_sum 'Ac2 Sc2 Rh2'
_cell_length_a 4.294
_cell_length_b 4.294
_cell_length_c 8.815
_cell_angle_alpha 90.20
_cell_angle_beta 90.21
_cell_angle_gamma 90.02
_symmetry_space_group_name_H-M 'P 1'
_symmetry_Int_Tables_number 1
_symmetry_space_group_name_Hall 'P 1'
loop_
_atom_site_label
_atom_site_fract_x
_atom_site_fract_y
_atom_site_fract_z
Ac1 0.814 0.867 0.585
Ac2 0.314 0.366 0.255
Sc1 0.813 0.367 0.920
Sc2 0.314 0.866 0.920
Rh1 0.815 0.867 0.112
Rh2 0.313 0.366 0.727

=====

# K2RbCdAu2 PBE optimized geometry
# Calculated total energy ... -2.005 eV/atom
data_K2RbCdAu2
_chemical_formula_sum 'K4 Rb2 Cd2 Au4'
_cell_length_a 4.890
_cell_length_b 9.083
_cell_length_c 9.587
_cell_angle_alpha 90.00
_cell_angle_beta 90.00
_cell_angle_gamma 90.00
_symmetry_space_group_name_H-M 'P 1'
_symmetry_Int_Tables_number 1
_symmetry_space_group_name_Hall 'P 1'
loop_
_atom_site_label
_atom_site_fract_x
_atom_site_fract_y
_atom_site_fract_z
K1 0.500 0.034 0.081
K2 0.000 0.371 0.189
K3 0.500 0.534 0.919
K4 0.000 0.871 0.811
Rb1 0.000 0.975 0.439
Rb2 0.000 0.475 0.561
Cd1 0.500 0.184 0.704
Cd2 0.500 0.684 0.296
Au1 0.000 0.235 0.859
Au2 0.500 0.246 0.401
Au3 0.000 0.735 0.141
Au4 0.500 0.746 0.599

=====

# ZrH8Ir2Pd PBE optimized geometry
# Calculated total energy ... -4.882 eV/atom
data_ZrH8Ir2Pd
_chemical_formula_sum 'Zr1 H8 Ir2 Pd1'
_cell_length_a 3.947
_cell_length_b 4.912
_cell_length_c 6.320
_cell_angle_alpha 62.12
_cell_angle_beta 71.81
_cell_angle_gamma 66.31
_symmetry_space_group_name_H-M 'P 1'
_symmetry_Int_Tables_number 1
_symmetry_space_group_name_Hall 'P 1'
loop_
_atom_site_label
_atom_site_fract_x
_atom_site_fract_y
_atom_site_fract_z
Zr1 0.500 0.500 0.500
H1 0.874 0.727 0.525
H2 0.692 0.472 0.144
H3 0.126 0.273 0.475
H4 0.308 0.528 0.856
H5 0.617 0.996 0.265
H6 0.383 0.004 0.735
H7 0.123 0.996 0.265
H8 0.877 0.004 0.735
Ir1 0.244 0.325 0.188
Ir2 0.756 0.675 0.812
Pd1 0.000 0.000 0.000

=====

# PrSm2Dy6Y3 PBE optimized geometry
# Calculated total energy ... -5.084 eV/atom
data_PrSm2Dy6Y3
_chemical_formula_sum 'Pr1 Sm2 Dy6 Y3'
_cell_length_a 6.200
_cell_length_b 6.200
_cell_length_c 11.852
_cell_angle_alpha 94.98
_cell_angle_beta 94.98
_cell_angle_gamma 119.97
_symmetry_space_group_name_H-M 'P 1'
_symmetry_Int_Tables_number 1
_symmetry_space_group_name_Hall 'P 1'
loop_
_atom_site_label
_atom_site_fract_x
_atom_site_fract_y
_atom_site_fract_z
Pr1 0.000 0.000 0.000
Sm1 0.333 0.667 0.000
Sm2 0.667 0.333 0.000
Dy1 0.915 0.581 0.748
Dy2 0.751 0.751 0.252
Dy3 0.085 0.419 0.252
Dy4 0.581 0.915 0.748
Dy5 0.249 0.249 0.748
Dy6 0.419 0.085 0.252
Y1 0.167 0.833 0.500
Y2 0.833 0.167 0.500
Y3 0.500 0.500 0.500

=====

# Er6Tl2Ir PBE optimized geometry
# Polymorph energy (0 for the lowest one) ... 152.5 meV/atom
# Calculated total energy ... -4.835 eV/atom
data_Er6Tl2Ir
_chemical_formula_sum 'Er6 Tl2 Ir1'
_cell_length_a 5.016
_cell_length_b 7.202
_cell_length_c 8.629
_cell_angle_alpha 114.67
_cell_angle_beta 106.90
_cell_angle_gamma 90.00
_symmetry_space_group_name_H-M 'P 1'
_symmetry_Int_Tables_number 1
_symmetry_space_group_name_Hall 'P 1'
loop_
_atom_site_label
_atom_site_fract_x
_atom_site_fract_y
_atom_site_fract_z
Er1 0.155 0.392 0.309
Er2 0.845 0.083 0.691
Er3 0.845 0.608 0.691
Er4 0.500 0.224 0.000
Er5 0.155 0.917 0.309
Er6 0.500 0.776 0.000
Tl1 0.667 0.667 0.334
Tl2 0.333 0.333 0.666
Ir1 0.000 0.000 0.000

=====

# ThZr2Sn2 PBE optimized geometry
# Calculated total energy ... -6.904 eV/atom
data_ThZr2Sn2
_chemical_formula_sum 'Th1 Zr2 Sn2'
_cell_length_a 5.531
_cell_length_b 5.947
_cell_length_c 5.532
_cell_angle_alpha 96.45
_cell_angle_beta 131.84
_cell_angle_gamma 101.38
_symmetry_space_group_name_H-M 'P 1'
_symmetry_Int_Tables_number 1
_symmetry_space_group_name_Hall 'P 1'
loop_
_atom_site_label
_atom_site_fract_x
_atom_site_fract_y
_atom_site_fract_z
Th1 0.500 0.000 0.500
Zr1 0.080 0.380 0.300
Zr2 0.920 0.620 0.700
Sn1 0.692 0.760 0.068
Sn2 0.308 0.240 0.932

=====

# InFe2CuC PBE optimized geometry
# Calculated total energy ... -6.394 eV/atom
data_InFe2CuC
_chemical_formula_sum 'In1 Fe2 Cu1 C1'
_cell_length_a 3.826
_cell_length_b 3.826
_cell_length_c 4.050
_cell_angle_alpha 90.00
_cell_angle_beta 90.00
_cell_angle_gamma 90.00
_symmetry_space_group_name_H-M 'P 1'
_symmetry_Int_Tables_number 1
_symmetry_space_group_name_Hall 'P 1'
loop_
_atom_site_label
_atom_site_fract_x
_atom_site_fract_y
_atom_site_fract_z
C1 0.000 0.000 0.000
Fe1 0.000 0.500 0.000
Fe2 0.500 0.000 0.000
Cu1 0.000 0.000 0.500
In1 0.500 0.500 0.500

=====

# Rb3AsPd2 PBE optimized geometry
# Calculated total energy ... -3.191 eV/atom
data_Rb3AsPd2
_chemical_formula_sum 'Rb12 As4 Pd8'
_cell_length_a 7.037
_cell_length_b 10.632
_cell_length_c 11.191
_cell_angle_alpha 90.00
_cell_angle_beta 96.61
_cell_angle_gamma 90.00
_symmetry_space_group_name_H-M 'P 1'
_symmetry_Int_Tables_number 1
_symmetry_space_group_name_Hall 'P 1'
loop_
_atom_site_label
_atom_site_fract_x
_atom_site_fract_y
_atom_site_fract_z
Rb1 0.512 0.818 0.939
Rb2 0.988 0.318 0.561
Rb3 0.488 0.182 0.061
Rb4 0.012 0.682 0.439
Rb5 0.231 0.537 0.076
Rb6 0.269 0.037 0.424
Rb7 0.769 0.463 0.924
Rb8 0.731 0.963 0.576
Rb9 0.050 0.878 0.136
Rb10 0.450 0.378 0.364
Rb11 0.950 0.122 0.864
Rb12 0.550 0.622 0.636
As1 0.473 0.734 0.325
As2 0.027 0.234 0.175
As3 0.527 0.266 0.675
As4 0.973 0.766 0.825
Pd1 0.635 0.911 0.255
Pd2 0.865 0.411 0.245
Pd3 0.365 0.089 0.745
Pd4 0.135 0.589 0.755
Pd5 0.678 0.624 0.205
Pd6 0.822 0.124 0.295
Pd7 0.322 0.376 0.795
Pd8 0.178 0.876 0.705

=====

# Pt2WI PBE optimized geometry
# Formation energy (no corrections) ... 632 meV per atom
# Polymorph energy (0 for the lowest one) ... 0.0 meV/atom
# Calculated total energy ... -6.014 eV/atom
data_Pt2WI
_chemical_formula_sum 'Pt4 W2 I2'
_cell_length_a 6.640
_cell_length_b 6.640
_cell_length_c 6.583
_cell_angle_alpha 59.72
_cell_angle_beta 59.72
_cell_angle_gamma 90.00
_symmetry_space_group_name_H-M 'P 1'
_symmetry_Int_Tables_number 1
_symmetry_space_group_name_Hall 'P 1'
loop_
_atom_site_label
_atom_site_fract_x
_atom_site_fract_y
_atom_site_fract_z
I1 0.500 0.500 0.000
I2 0.250 0.750 0.500
W1 0.000 0.000 0.000
W2 0.750 0.250 0.500
Pt1 0.668 0.125 0.250
Pt2 0.082 0.625 0.250
Pt3 0.375 0.332 0.750
Pt4 0.875 0.918 0.750

=====

# ZnAgRu2 PBE optimized geometry
# Calculated total energy ... -5.285 eV/atom
data_ZnAgRu2
_chemical_formula_sum 'Zn1 Ag1 Ru2'
_cell_length_a 2.698
_cell_length_b 2.698
_cell_length_c 9.356
_cell_angle_alpha 90.00
_cell_angle_beta 90.00
_cell_angle_gamma 117.58
_symmetry_space_group_name_H-M 'P 1'
_symmetry_Int_Tables_number 1
_symmetry_space_group_name_Hall 'P 1'
loop_
_atom_site_label
_atom_site_fract_x
_atom_site_fract_y
_atom_site_fract_z
Ag1 0.500 0.500 0.750
Ru1 0.000 0.000 0.015
Ru2 0.000 0.000 0.485
Zn1 0.500 0.500 0.250

=====

# Co2TcOs2 PBE optimized geometry
# Calculated total energy ... -9.169 eV/atom
data_Co2TcOs2
_chemical_formula_sum 'Co4 Tc2 Os4'
_cell_length_a 6.937
_cell_length_b 6.937
_cell_length_c 2.704
_cell_angle_alpha 90.00
_cell_angle_beta 90.00
_cell_angle_gamma 90.00
_symmetry_space_group_name_H-M 'P 1'
_symmetry_Int_Tables_number 1
_symmetry_space_group_name_Hall 'P 1'
loop_
_atom_site_label
_atom_site_fract_x
_atom_site_fract_y
_atom_site_fract_z
Co1 0.380 0.880 0.000
Co2 0.880 0.620 0.000
Co3 0.620 0.120 0.000
Co4 0.120 0.380 0.000
Os1 0.176 0.676 0.500
Os2 0.676 0.824 0.500
Os3 0.824 0.324 0.500
Os4 0.324 0.176 0.500
Tc1 0.000 0.000 0.000
Tc2 0.500 0.500 0.000

=====

| no. | total magnetic moment (μB per atom) |
| --- | --- |
| 1 | 0.0000 |
| 2 | 0.0000 |
| 3 | 0.0000 |
| 4 | 0.0000 |
| 5 | 0.0000 |
| 6 | 0.0000 |
| 7 | 0.0000 |
| 8 | 0.2875 |
| 9 | 0.0000 |
| 10 | 0.0000 |
| 11 | 0.1142 |
| 12 | 0.1623 |